VASP calculation (meta-GGA SCAN) on a PBEsol-optimized structure of LaAuS3.

Lattice parameters (Å, degrees): 5.3824 5.3824 5.3824 90.00 90.00 90.00
Closest atoms and distances in Å follow each position.
Fractional positions:
S  0.0000  0.5000  0.0000  2 La 2.69
S  0.0000  0.0000  0.5000  2 La 2.69
S  0.5000  0.0000  0.0000  2 La 2.69
Au  0.5000  0.5000  0.5000  12 S 3.81
La  0.0000  0.0000  0.0000  6 S 2.69

## Properties
Spin magnetization, Bohr magnetons per cell: 2.05
SG: Pm-3m
Formation energy (no corrections), eV/atom: 0.140
Calculated density, g/cm3: 4.60

=====

VASP calculation (meta-GGA SCAN) on a PBEsol-optimized structure of Tl2InAg.

Lattice parameters (Å, degrees): 3.3072 3.3072 10.3607 80.82 80.82 60.00
Closest atoms and distances in Å follow each position.
Fractional positions:
Ag  0.5000  0.5000  0.5000  6 Tl 3.01, 6 Ag 3.31
In  0.0000  0.0000  0.0000  6 In 3.31, 6 Tl 3.36
Tl  0.2428  0.2428  0.2715  3 Ag 3.01, 6 Tl 3.31, 3 In 3.36
Tl  0.7572  0.7572  0.7285  3 Ag 3.01, 6 Tl 3.31, 3 In 3.36

## Properties
Spin magnetization, Bohr magnetons per cell: 0.00
SG: R-3m
Energy relative to the elements, eV per formula unit: 0.5
E above lowest polymorph, eV/atom: 0.0676
Calculated density, g/cm3: 10.87

=====

VASP calculation (meta-GGA SCAN) on a PBEsol-optimized structure of Ta2WBr.

Lattice parameters (Å, degrees): 3.2138 3.2138 7.2314 90.00 90.00 90.00
Closest atoms and distances in Å follow each position.
Fractional positions:
Br  0.5000  0.5000  0.7637  4 Ta 2.99, 4 Br 3.21, 4 W 3.22
W  0.0000  0.0000  0.4478  4 Ta 2.66
Ta  0.0000  0.0000  0.0320  4 Ta 2.79, 4 Br 2.99, 1 W 3.01
Ta  0.5000  0.5000  0.2565  4 W 2.66, 4 Ta 2.79

## Properties
Spin magnetization, Bohr magnetons per cell: 0.00
SG: P4mm
E above lowest polymorph, eV/atom: 0.0000
Formation energy (no corrections), eV/atom: 0.584
Calculated density, g/cm3: 13.91

=====

VASP calculation (meta-GGA SCAN) on a PBEsol-optimized structure of K2MnTlPt.

Lattice parameters (Å, degrees): 4.6676 6.0780 6.0780 90.00 90.00 90.00
Closest atoms and distances in Å follow each position.
Fractional positions:
Tl  0.5000  0.5000  0.5000  8 K 3.83
Mn  0.0000  0.0000  0.0000  2 Pt 2.33
K  0.0000  0.0000  0.5000  2 Mn 3.04
K  0.0000  0.5000  0.0000  2 Mn 3.04
Pt  0.5000  0.0000  0.0000  2 Mn 2.33

## Properties
Spin magnetization, Bohr magnetons per cell: 4.39
SG: P4/mmm
Energy relative to the elements, eV per formula unit: 1.7
Calculated density, g/cm3: 5.13

=====

VASP calculation (meta-GGA SCAN) on a PBEsol-optimized structure of AlInCo2N.

Lattice parameters (Å, degrees): 4.7163 4.7163 4.9481 90.00 90.00 90.00
Closest atoms and distances in Å follow each position.
Fractional positions:
N  0.5000  0.5000  0.5000  4 Al 3.33, 8 Co 3.42
Co  0.0000  0.5000  0.0000  2 In 2.36
Co  0.5000  0.0000  0.0000  2 In 2.36
Al  0.0000  0.0000  0.5000  2 In 2.47
In  0.0000  0.0000  0.0000  4 Co 2.36, 2 Al 2.47

## Properties
Spin magnetization, Bohr magnetons per cell: 6.62
SG: P4/mmm
Formation energy (no corrections), eV/atom: 2.122
Calculated density, g/cm3: 4.13

=====

VASP calculation (meta-GGA SCAN) on a PBEsol-optimized structure of Rb2TaCoF.

Lattice parameters (Å, degrees): 4.3275 6.3803 6.3803 90.00 90.00 90.00
Closest atoms and distances in Å follow each position.
Fractional positions:
F  0.5000  0.5000  0.5000  8 Rb 3.85
Co  0.0000  0.0000  0.0000  2 Ta 2.16
Rb  0.0000  0.0000  0.5000  2 Co 3.19
Rb  0.0000  0.5000  0.0000  2 Co 3.19
Ta  0.5000  0.0000  0.0000  2 Co 2.16

## Properties
Spin magnetization, Bohr magnetons per cell: 0.82
SG: P4/mmm
Formation energy (no corrections), eV/atom: 0.575
Calculated density, g/cm3: 4.05

=====

VASP calculation (meta-GGA SCAN) on a PBEsol-optimized structure of Sb2AsBr.

Lattice parameters (Å, degrees): 3.6707 5.0142 6.1755 113.95 107.29 90.00
Closest atoms and distances in Å follow each position.
Fractional positions:
Sb  0.7944  0.7944  0.5888  2 As 2.86
Sb  0.2056  0.2056  0.4112  2 As 2.86
As  0.5000  0.0000  0.0000  4 Sb 2.86, 4 Br 3.11
Br  0.0000  0.5000  0.0000  4 As 3.11, 4 Sb 3.33

## Properties
Spin magnetization, Bohr magnetons per cell: 0.00
SG: Immm
E above lowest polymorph, eV/atom: 0.2631
Formation energy (no corrections), eV/atom: 0.265
Calculated density, g/cm3: 6.73

=====

VASP calculation (meta-GGA SCAN) on a PBEsol-optimized structure of Mn2IrCl.

Lattice parameters (Å, degrees): 2.8269 4.6082 4.6082 90.00 90.00 90.00
Closest atoms and distances in Å follow each position.
Fractional positions:
Ir  0.5000  0.0000  0.0000  8 Mn 2.70, 2 Ir 2.83
Mn  0.0000  0.0000  0.5000  4 Cl 2.70, 4 Ir 2.70, 2 Mn 2.83
Mn  0.0000  0.5000  0.0000  4 Cl 2.70, 4 Ir 2.70, 2 Mn 2.83
Cl  0.5000  0.5000  0.5000  8 Mn 2.70, 2 Cl 2.83

## Properties
Spin magnetization, Bohr magnetons per cell: 9.30
SG: P4/mmm
E above lowest polymorph, eV/atom: 0.0000
Formation energy (no corrections), eV/atom: -0.171
Calculated density, g/cm3: 9.34

=====

VASP calculation (meta-GGA SCAN) on a PBEsol-optimized structure of TlIn2RePt.

Lattice parameters (Å, degrees): 4.9875 5.3521 5.3521 90.00 90.00 90.00
Closest atoms and distances in Å follow each position.
Fractional positions:
Re  0.5000  0.5000  0.5000  8 In 3.66, 4 Pt 3.78
Tl  0.0000  0.0000  0.0000  2 Pt 2.49, 4 In 2.68
Pt  0.5000  0.0000  0.0000  2 Tl 2.49
In  0.0000  0.0000  0.5000  2 Tl 2.68
In  0.0000  0.5000  0.0000  2 Tl 2.68

## Properties
Spin magnetization, Bohr magnetons per cell: 4.57
SG: P4/mmm
Energy relative to the elements, eV per formula unit: 9.3
Calculated density, g/cm3: 9.48

=====

VASP calculation (meta-GGA SCAN) on a PBEsol-optimized structure of LaTl2Ag.

Lattice parameters (Å, degrees): 3.3092 4.9835 6.2509 90.00 89.96 90.00
Closest atoms and distances in Å follow each position.
Fractional positions:
Tl  0.7490  0.0000  0.9862  2 Ag 3.00-3.25, 4 Tl 3.04-3.31, 4 La 3.36
Tl  0.7510  0.5000  0.2652  2 Ag 2.91, 2 Tl 3.04
Ag  0.7501  0.0000  0.5061  4 Tl 2.91-3.25
La  0.2499  0.5000  0.7424  2 La 3.31, 4 Ag 3.34, 8 Tl 3.36-3.67

## Properties
Spin magnetization, Bohr magnetons per cell: 0.00
SG: Pmm2
Energy relative to the elements, eV per formula unit: -1.0
Calculated density, g/cm3: 10.56

=====

VASP calculation (meta-GGA SCAN) on a PBEsol-optimized structure of BaS2IN.

Lattice parameters (Å, degrees): 5.2291 5.9951 5.9951 90.00 90.00 90.00
Closest atoms and distances in Å follow each position.
Fractional positions:
I  0.5000  0.5000  0.5000  8 S 3.98, 4 N 4.24
S  0.0000  0.0000  0.5000  2 Ba 3.00
S  0.0000  0.5000  0.0000  2 Ba 3.00
Ba  0.0000  0.0000  0.0000  2 N 2.61
N  0.5000  0.0000  0.0000  2 Ba 2.61

## Properties
Spin magnetization, Bohr magnetons per cell: 6.00
SG: P4/mmm
Formation energy (no corrections), eV/atom: 0.798
Calculated density, g/cm3: 3.03

=====

VASP calculation (meta-GGA SCAN) on a PBEsol-optimized structure of Na3GePCO7.

Lattice parameters (Å, degrees): 5.3176 6.8230 9.2497 90.00 94.80 90.00
Closest atoms and distances in Å follow each position.
Fractional positions:
Na  0.2019  0.2500  0.9093  4 O 2.31-2.47
Na  0.7265  0.9967  0.7391  4 O 2.27-2.45
Na  0.7265  0.5033  0.7391  4 O 2.27-2.45
Na  0.2735  0.4967  0.2609  4 O 2.27-2.45
Na  0.2735  0.0033  0.2609  4 O 2.27-2.45
Na  0.7981  0.7500  0.0907  4 O 2.31-2.47
Ge  0.2036  0.7500  0.6388  2 O 1.97-2.04
Ge  0.7964  0.2500  0.3612  2 O 1.97-2.04
P  0.2469  0.2500  0.6010  4 O 1.52-1.59
P  0.7531  0.7500  0.3990  4 O 1.52-1.59
C  0.2748  0.7500  0.9377  3 O 1.28-1.33
C  0.7252  0.2500  0.0623  3 O 1.28-1.33
O  0.7659  0.2500  0.9277  1 C 1.28
O  0.0762  0.7500  0.8408  1 C 1.33
O  0.4989  0.7500  0.8943  1 C 1.29
O  0.1383  0.0695  0.6777  1 P 1.56
O  0.1383  0.4305  0.6777  1 P 1.56
O  0.5335  0.2500  0.6162  1 P 1.52
O  0.8448  0.7500  0.5668  1 P 1.59
O  0.1552  0.2500  0.4332  1 P 1.59
O  0.4665  0.7500  0.3838  1 P 1.52
O  0.8617  0.5695  0.3223  1 P 1.56
O  0.8617  0.9305  0.3223  1 P 1.56
O  0.5011  0.2500  0.1057  1 C 1.29
O  0.9238  0.2500  0.1592  1 C 1.33
O  0.2341  0.7500  0.0723  1 C 1.28

## Properties
Spin magnetization, Bohr magnetons per cell: 0.00
SG: P2_1/m
E above lowest polymorph, eV/atom: 0.0120
Formation energy (no corrections), eV/atom: -1.999
Calculated density, g/cm3: 2.95

=====

VASP calculation (meta-GGA SCAN) on a PBEsol-optimized structure of MnTe2Au.

Lattice parameters (Å, degrees): 3.8108 3.8108 7.3387 74.95 74.95 60.00
Closest atoms and distances in Å follow each position.
Fractional positions:
Au  0.5000  0.5000  0.5000  6 Te 2.90
Mn  0.0000  0.0000  0.0000  6 Te 2.72
Te  0.2569  0.2569  0.2294  3 Mn 2.72, 3 Au 2.90
Te  0.7431  0.7431  0.7706  3 Mn 2.72, 3 Au 2.90

## Properties
Spin magnetization, Bohr magnetons per cell: 3.67
SG: R-3m
E above lowest polymorph, eV/atom: 0.0365
Formation energy (no corrections), eV/atom: -0.213
Calculated density, g/cm3: 9.56

=====

VASP calculation (meta-GGA SCAN) on a PBEsol-optimized structure of PIrRu2.

Lattice parameters (Å, degrees): 2.7511 2.7511 8.1776 80.32 80.32 60.00
Closest atoms and distances in Å follow each position.
Fractional positions:
Ir  0.5078  0.5078  0.4765  3 P 2.45, 3 Ru 2.74
P  0.2518  0.2518  0.2447  3 Ru 2.38, 3 Ir 2.45
Ru  0.9919  0.9919  0.0244  3 P 2.38
Ru  0.7485  0.7485  0.7544  9 Ru 2.69-2.75, 3 Ir 2.74

## Properties
Spin magnetization, Bohr magnetons per cell: 0.00
SG: R3m
Energy relative to the elements, eV per formula unit: -0.2
Calculated density, g/cm3: 13.43

=====

VASP calculation (meta-GGA SCAN) on a PBEsol-optimized structure of Ba4SrHf5O15.

Lattice parameters (Å, degrees): 5.8604 5.8604 12.4246 76.36 76.36 60.00
Closest atoms and distances in Å follow each position.
Fractional positions:
Ba  0.1003  0.1003  0.6990  12 O 2.92-2.94
Ba  0.6999  0.6999  0.9002  12 O 2.93-2.96
Ba  0.3001  0.3001  0.0998  12 O 2.93-2.96
Ba  0.8997  0.8997  0.3010  12 O 2.92-2.94
Sr  0.5000  0.5000  0.5000  12 O 2.90-2.93
Hf  0.1997  0.1997  0.4010  6 O 2.06-2.07
Hf  0.0000  0.0000  0.0000  6 O 2.07
Hf  0.5995  0.5995  0.2015  6 O 2.07-2.08
Hf  0.8003  0.8003  0.5990  6 O 2.06-2.07
Hf  0.4005  0.4005  0.7985  6 O 2.07-2.08
O  0.0000  0.0000  0.5000  2 Hf 2.06
O  0.7998  0.7998  0.1004  2 Hf 2.07-2.08
O  0.4005  0.4005  0.3025  2 Hf 2.07
O  0.5995  0.5995  0.6975  2 Hf 2.07
O  0.2002  0.2002  0.8996  2 Hf 2.07-2.08
O  0.8966  0.4005  0.3025  2 Hf 2.07
O  0.7000  0.2002  0.8996  2 Hf 2.07-2.08
O  0.3000  0.7998  0.1004  2 Hf 2.07-2.08
O  0.5000  0.0000  0.5000  2 Hf 2.06
O  0.1034  0.5995  0.6975  2 Hf 2.07
O  0.4005  0.8966  0.3025  2 Hf 2.07
O  0.2002  0.7000  0.8996  2 Hf 2.07-2.08
O  0.7998  0.3000  0.1004  2 Hf 2.07-2.08
O  0.0000  0.5000  0.5000  2 Hf 2.06
O  0.5995  0.1034  0.6975  2 Hf 2.07

## Properties
Spin magnetization, Bohr magnetons per cell: 0.00
SG: R-3m
Formation energy (no corrections), eV/atom: -3.685
Calculated density, g/cm3: 8.26

=====

VASP calculation (meta-GGA SCAN) on a PBEsol-optimized structure of Zn2Se.

Lattice parameters (Å, degrees): 3.5649 3.5649 4.7796 111.90 111.90 90.00
Closest atoms and distances in Å follow each position.
Fractional positions:
Se  0.0000  0.0000  0.0000  10 Zn 2.70-2.86
Zn  0.6673  0.6673  0.3345  5 Se 2.70-2.86, 5 Zn 2.72-2.86
Zn  0.3327  0.3327  0.6655  5 Se 2.70-2.86, 5 Zn 2.72-2.86

## Properties
Spin magnetization, Bohr magnetons per cell: 0.00
SG: I4/mmm
E above lowest polymorph, eV/atom: 0.2909
Formation energy (no corrections), eV/atom: 0.144
Calculated density, g/cm3: 6.75

=====

VASP calculation (meta-GGA SCAN) on a PBEsol-optimized structure of OsAu2Cl.

Lattice parameters (Å, degrees): 2.6431 5.0524 5.0524 90.00 90.00 90.00
Closest atoms and distances in Å follow each position.
Fractional positions:
Os  0.5000  0.0000  0.0000  2 Os 2.64, 8 Au 2.85
Au  0.0000  0.0000  0.5000  2 Au 2.64, 4 Cl 2.85, 4 Os 2.85
Au  0.0000  0.5000  0.0000  2 Au 2.64, 4 Cl 2.85, 4 Os 2.85
Cl  0.5000  0.5000  0.5000  2 Cl 2.64, 8 Au 2.85

## Properties
Spin magnetization, Bohr magnetons per cell: 1.12
SG: P4/mmm
E above lowest polymorph, eV/atom: 0.3525
Formation energy (no corrections), eV/atom: 0.939
Calculated density, g/cm3: 15.25

=====

VASP calculation (meta-GGA SCAN) on a PBEsol-optimized structure of CoIr2Os.

Lattice parameters (Å, degrees): 3.7272 3.7272 4.6025 113.89 113.89 90.00
Closest atoms and distances in Å follow each position.
Fractional positions:
Os  0.5000  0.5000  0.0000  8 Ir 2.64-2.65, 4 Co 2.65
Ir  0.0000  0.0000  0.0000  4 Os 2.64, 4 Co 2.65, 4 Ir 2.65
Ir  0.7500  0.2500  0.5000  4 Co 2.64, 4 Os 2.65, 4 Ir 2.65
Co  0.2500  0.7500  0.5000  8 Ir 2.64-2.65, 4 Os 2.65

## Properties
Spin magnetization, Bohr magnetons per cell: 2.10
SG: I-4m2
Energy relative to the elements, eV per formula unit: 0.3
E above lowest polymorph, eV/atom: 0.0548
Calculated density, g/cm3: 20.07

=====

VASP calculation (meta-GGA SCAN) on a PBEsol-optimized structure of Cs2AsBr.

Lattice parameters (Å, degrees): 8.0817 8.0817 8.0817 69.07 71.25 108.75
Closest atoms and distances in Å follow each position.
Fractional positions:
Cs  0.9855  0.3605  0.1250  2 Br 3.43, 2 As 3.61
Cs  0.0145  0.8895  0.6250  2 Br 3.43, 2 As 3.61
Cs  0.4855  0.1250  0.8895  2 Br 3.43, 2 As 3.61
Cs  0.5145  0.6250  0.3605  2 Br 3.43, 2 As 3.61
As  0.5000  0.7500  0.7500  4 Cs 3.61
As  0.0000  0.5000  0.5000  4 Cs 3.61
Br  0.5000  0.2500  0.2500  4 Cs 3.43
Br  0.0000  0.0000  0.0000  4 Cs 3.43

## Properties
Spin magnetization, Bohr magnetons per cell: 4.00
SG: I-42d
Formation energy (no corrections), eV/atom: -0.721
Calculated density, g/cm3: 3.44

=====

VASP calculation (meta-GGA SCAN) on a PBEsol-optimized structure of Sr2Li2NiO4.

Lattice parameters (Å, degrees): 5.3089 5.4204 8.2647 105.42 97.52 97.86
Closest atoms and distances in Å follow each position.
Fractional positions:
Sr  0.2722  0.7820  0.0230  4 O 2.43-2.60
Sr  0.7278  0.2180  0.9770  4 O 2.43-2.60
Sr  0.8332  0.8456  0.3045  4 O 2.38-2.59
Sr  0.1668  0.1544  0.6955  4 O 2.38-2.59
Li  0.7984  0.3793  0.4537  4 O 1.88-2.01
Li  0.2016  0.6207  0.5463  4 O 1.88-2.01
Li  0.4120  0.1157  0.4116  3 O 1.84-1.87
Li  0.5880  0.8843  0.5884  3 O 1.84-1.87
Ni  0.2897  0.3904  0.2419  4 O 1.92-2.03
Ni  0.7103  0.6096  0.7581  4 O 1.92-2.03
O  0.5732  0.1875  0.2367  2 Li 1.87-1.96, 1 Ni 1.98
O  0.4268  0.8125  0.7633  2 Li 1.87-1.96, 1 Ni 1.98
O  0.2120  0.2947  0.9981  1 Ni 1.92
O  0.7880  0.7053  0.0019  1 Ni 1.92
O  0.1231  0.2676  0.4213  3 Li 1.84-1.93, 1 Ni 2.03
O  0.8769  0.7324  0.5787  3 Li 1.84-1.93, 1 Ni 2.03
O  0.3261  0.7533  0.3606  3 Li 1.87-2.08, 1 Ni 1.92
O  0.6739  0.2467  0.6394  3 Li 1.87-2.08, 1 Ni 1.92

## Properties
Spin magnetization, Bohr magnetons per cell: 4.04
SG: P-1
Formation energy (no corrections), eV/atom: -2.200
Calculated density, g/cm3: 4.63